Entry 1:
# PBE-GGA BaYRu2, optimized geometry
# - Spin magnetization: 0.472 μB per formula unit
# - Formation energy from the elements: 16.4 kcal/mol of atoms
# - DFT total energy: -6.0244 eV per atom
data_BaYRu2
_chemical_formula_sum 'Ba4 Y4 Ru8'
_symmetry_space_group_name_H-M 'F -4 3 m'
_symmetry_Int_Tables_number 216
_symmetry_space_group_name_Hall 'F -4 2 3'
_cell_length_a 7.019
_cell_length_b 7.019
_cell_length_c 7.019
_cell_angle_alpha 90.00
_cell_angle_beta 90.00
_cell_angle_gamma 90.00
loop_
_atom_site_label
_atom_site_fract_x
_atom_site_fract_y
_atom_site_fract_z
Ba1 0.000 0.000 0.000
Y1 0.250 0.250 0.250
Ru1 0.000 0.000 0.500
Ru2 0.250 0.250 0.750

Entry 2:
# PBE-GGA MnTl2Br3Cl, optimized geometry
# - Spin magnetization: 5.000 μB per formula unit
# - Formation energy without anion corrections: -0.870 eV/atom
# - DFT total energy: -3.8368 eV per atom
data_MnTl2Br3Cl
_chemical_formula_sum 'Mn2 Tl4 Br6 Cl2'
_symmetry_space_group_name_H-M 'I m m m'
_symmetry_Int_Tables_number 71
_symmetry_space_group_name_Hall '-I 2 2'
_cell_length_a 4.995
_cell_length_b 5.343
_cell_length_c 16.820
_cell_angle_alpha 90.00
_cell_angle_beta 90.00
_cell_angle_gamma 90.00
loop_
_atom_site_label
_atom_site_fract_x
_atom_site_fract_y
_atom_site_fract_z
Mn1 0.000 0.000 0.000
Tl1 0.000 0.000 0.357
Br1 0.000 0.000 0.161
Br2 0.000 0.500 0.000
Cl1 0.000 0.500 0.500

Entry 3:
# PBE-GGA RbZn2HgF8, optimized geometry
# - Spin magnetization: 1.116 μB per formula unit
# - Formation energy without anion corrections: -1.904 eV/atom
# - DFT total energy: -3.4700 eV per atom
data_RbZn2HgF8
_chemical_formula_sum 'Rb3 Zn6 Hg3 F24'
_symmetry_space_group_name_H-M 'R 3 2'
_symmetry_Int_Tables_number 155
_symmetry_space_group_name_Hall 'R 3 2"'
_cell_length_a 5.3821
_cell_length_b 5.3821
_cell_length_c 25.3264
_cell_angle_alpha 90.00
_cell_angle_beta 90.00
_cell_angle_gamma 120.00
loop_
_atom_site_label
_atom_site_fract_x
_atom_site_fract_y
_atom_site_fract_z
Rb1 0.0000 0.0000 0.0000
Zn1 0.0000 0.0000 0.2483
Hg1 0.0000 0.0000 0.5000
F1 0.0000 0.0000 0.3224
F2 0.0008 0.3242 0.5582